VASP calculation (PBE) on an optimized crystal structure of La3Pr5Dy4.

Lattice parameters (Å, degrees): 16.5306 6.0795 9.4388 90.00 116.56 90.00
With the nearest neighbours (Å) after each atom.
Space group C2/m (No. 12)
Symmetry-distinct sites (fractional):
La  0.0000  0.0000  0.0000 x2  2 Pr 3.04
La  0.2054  0.5000  0.2178 x4  3 Pr 3.08-3.33, 1 Dy 3.32
Pr  0.0000  0.5000  0.0000 x2  4 La 3.04-3.08
Pr  0.0766  0.0000  0.7003 x4  2 La 3.33-3.58, 1 Pr 3.48, 2 Dy 3.67
Pr  0.1737  0.0000  0.3926 x4  4 La 3.31-3.61, 3 Dy 3.53-3.66
Dy  0.0794  0.5000  0.4370 x4  2 Dy 3.33-3.67, 4 Pr 3.53-3.73, 1 La 3.53
Dy  0.2093  0.5000  0.8694 x4  3 La 3.32-3.60, 1 Dy 3.67, 2 Pr 3.67

Computed properties:
As for the total moment: 0.393 μB per cell. For the volume, the calculation gives 35.4 Å³ per atom. For the total energy, the calculation gives -0.167 hartree per atom. The calculation puts the energy of formation at 21 kJ per mole of atoms.